# 1
Compound: TaH3Pt
Source: Alexandria via LeMat-Bulk
Functional: SCAN
Structure: single point on PBEsol structure

Results
- size of the total moment (μB/cell) = 0.001
- total energy (eV per atom) = -29.135

Lattice parameters (Å, degrees): 3.477 3.477 3.477 90.00 90.00 90.00
Space group Pm-3m (No. 221)
One atom of each set of equivalent atoms:
Ta: 0.000 0.000 0.000 (multiplicity 1)
H: 0.000 0.500 0.500 (multiplicity 3)
Pt: 0.500 0.500 0.500 (multiplicity 1)

=====

# 2
Compound: Al2HgSe
Source: Alexandria via LeMat-Bulk
Functional: SCAN
Structure: single point on PBEsol structure

Results
- size of the total moment (μB/cell) = 0.000
- ΔE_f (raw) (eV per formula unit) = -0.41

Lattice parameters (Å, degrees): 5.222 5.222 2.814 90.00 90.00 90.00
Space group P4/mmm (No. 123)
One atom of each set of equivalent atoms:
Al: 0.000 0.500 0.000 (multiplicity 2)
Hg: 0.000 0.000 0.500 (multiplicity 1)
Se: 0.500 0.500 0.000 (multiplicity 1)

=====

# 3
Compound: HfMgSi2Os
Source: Alexandria via LeMat-Bulk
Functional: SCAN
Structure: single point on PBEsol structure

Results
- size of the total moment (μB/cell) = 0.000
- ΔE_f (raw) (eV per formula unit) = 9.62

Lattice parameters (Å, degrees): 4.433 4.433 4.941 90.00 90.00 90.00
Space group P4/mmm (No. 123)
One atom of each set of equivalent atoms:
Hf: 0.000 0.000 0.000 (multiplicity 1)
Mg: 0.000 0.000 0.500 (multiplicity 1)
Si: 0.000 0.500 0.500 (multiplicity 2)
Os: 0.500 0.500 0.000 (multiplicity 1)

=====

# 4
Compound: Pm2CuAu
Source: Alexandria via LeMat-Bulk
Functional: SCAN
Structure: single point on PBEsol structure

Results
- DFT formation energy (kJ/mol of formula units) = -237
- size of the total moment (μB/cell) = 0.000

Lattice parameters (Å, degrees): 7.142 7.142 7.142 90.00 90.00 90.00
Space group Fm-3m (No. 225)
One atom of each set of equivalent atoms:
Pm: 0.250 0.250 0.250 (multiplicity 8)
Cu: 0.000 0.000 0.000 (multiplicity 4)
Au: 0.000 0.000 0.500 (multiplicity 4)

=====

# 5
Compound: InRuS2
Source: Alexandria via LeMat-Bulk
Functional: SCAN
Structure: single point on PBEsol structure

Results
- size of the total moment (μB/cell) = 0.000
- ΔE_f (raw) (eV per formula unit) = -1.21

Lattice parameters (Å, degrees): 3.4751 3.4751 22.9183 90.00 90.00 120.00
Space group R-3m (No. 166, hexagonal axes)
One atom of each set of equivalent atoms:
In: 0.0000 0.0000 0.0000 (multiplicity 3)
Ru: 0.0000 0.0000 0.5000 (multiplicity 3)
S: 0.0000 0.0000 0.1147 (multiplicity 6)

=====

# 6
Compound: ScMo2Pt
Source: Alexandria via LeMat-Bulk
Functional: SCAN
Structure: single point on PBEsol structure

Results
- DFT formation energy (kJ/mol of formula units) = -139
- excess energy over the best structure of this formula in the dataset (meV per atom) = 0
- size of the total moment (μB/cell) = 0.000

Lattice parameters (Å, degrees): 3.738 3.738 4.620 90.00 90.00 90.00
Space group P4/mmm (No. 123)
One atom of each set of equivalent atoms:
Sc: 0.000 0.000 0.000 (multiplicity 1)
Mo: 0.000 0.500 0.500 (multiplicity 2)
Pt: 0.500 0.500 0.000 (multiplicity 1)

=====

# 7
Compound: ScZn2Hg
Source: Alexandria via LeMat-Bulk
Functional: SCAN
Structure: single point on PBEsol structure

Results
- DFT formation energy (kJ/mol of formula units) = -127
- size of the total moment (μB/cell) = 0.000

Lattice parameters (Å, degrees): 4.611 4.611 6.459 90.00 90.00 90.00
Space group I-4m2 (No. 119)
One atom of each set of equivalent atoms:
Sc: 0.000 0.000 0.000 (multiplicity 2)
Zn: 0.000 0.000 0.500 (multiplicity 2)
Zn: 0.000 0.500 0.250 (multiplicity 2)
Hg: 0.000 0.500 0.750 (multiplicity 2)

=====

# 8
Compound: K2EuCuCl6
Source: Alexandria via LeMat-Bulk
Functional: SCAN
Structure: single point on PBEsol structure

Results
- size of the total moment (μB/cell) = 24.000
- ΔE_f (raw) (eV per formula unit) = -18.56

Lattice parameters (Å, degrees): 10.209 10.209 10.209 90.00 90.00 90.00
Space group Fm-3m (No. 225)
One atom of each set of equivalent atoms:
K: 0.250 0.250 0.250 (multiplicity 8)
Eu: 0.000 0.000 0.000 (multiplicity 4)
Cu: 0.000 0.000 0.500 (multiplicity 4)
Cl: 0.000 0.000 0.263 (multiplicity 24)

=====

# 9
Compound: Sc2MoPt
Source: Alexandria via LeMat-Bulk
Functional: SCAN
Structure: single point on PBEsol structure

Results
- DFT formation energy (kJ/mol of formula units) = -114
- size of the total moment (μB/cell) = 0.000

Lattice parameters (Å, degrees): 8.871 2.874 5.502 90.00 98.97 90.00
Space group C2/m (No. 12)
One atom of each set of equivalent atoms:
Sc: 0.246 0.000 0.249 (multiplicity 4)
Mo: 0.000 0.000 0.500 (multiplicity 2)
Pt: 0.000 0.500 0.000 (multiplicity 2)

=====

# 10
Compound: La2BRh2
Source: Alexandria via LeMat-Bulk
Functional: SCAN
Structure: single point on PBEsol structure

Results
- DFT formation energy (kJ/mol of formula units) = -221
- size of the total moment (μB/cell) = 0.000

Lattice parameters (Å, degrees): 5.556 5.556 6.910 90.00 90.00 90.00
Space group I4/mmm (No. 139)
One atom of each set of equivalent atoms:
La: 0.000 0.500 0.250 (multiplicity 4)
B: 0.000 0.000 0.000 (multiplicity 2)
Rh: 0.000 0.000 0.291 (multiplicity 4)

=====

# 11
Compound: Li3BiAu
Source: Alexandria via LeMat-Bulk
Functional: SCAN
Structure: single point on PBEsol structure

Results
- DFT formation energy (kJ/mol of formula units) = -156
- size of the total moment (μB/cell) = 0.000

Lattice parameters (Å, degrees): 4.741 4.741 4.741 90.00 90.00 90.00
Space group Pm-3m (No. 221)
One atom of each set of equivalent atoms:
Li: 0.000 0.000 0.500 (multiplicity 3)
Bi: 0.500 0.500 0.500 (multiplicity 1)
Au: 0.000 0.000 0.000 (multiplicity 1)

=====

# 12
Compound: ScHg2Br
Source: Alexandria via LeMat-Bulk
Functional: SCAN
Structure: single point on PBEsol structure

Results
- excess energy over the best structure of this formula in the dataset (meV per atom) = 351
- size of the total moment (μB/cell) = 0.054
- ΔE_f (raw) (eV per formula unit) = -0.27

Lattice parameters (Å, degrees): 7.223 7.223 7.223 90.00 90.00 90.00
Space group Fm-3m (No. 225)
One atom of each set of equivalent atoms:
Sc: 0.000 0.000 0.000 (multiplicity 4)
Hg: 0.250 0.250 0.250 (multiplicity 8)
Br: 0.000 0.000 0.500 (multiplicity 4)